Entry 1:
Bi2PdRh | PBE | optimized geometry

a = 3.765 Å, b = 6.886 Å, c = 7.667 Å
α = 72.72°, β = 89.94°, γ = 89.97°
Atoms (fractional coordinates):
Bi (0.000, 0.238, 0.054)
Bi (0.000, 0.762, 0.946)
Bi (0.499, 0.751, 0.375)
Bi (0.501, 0.249, 0.625)
Pd (0.000, 0.478, 0.311)
Pd (0.000, 0.522, 0.689)
Rh (0.500, 0.152, 0.309)
Rh (0.500, 0.848, 0.691)

Properties
Calculated density, g cm⁻³: 10.97
VASP energy, eV per cell: -41.529

=====

Entry 2:
SiSnSCl2 | PBE | optimized geometry

a = 4.822 Å, b = 4.822 Å, c = 4.906 Å
α = 90.00°, β = 90.00°, γ = 90.00°
Atoms (fractional coordinates):
Si (0.000, 0.000, 0.000)
Sn (0.500, 0.500, 0.500)
S (0.000, 0.000, 0.500)
Cl (0.000, 0.500, 0.000)
Cl (0.500, 0.000, 0.000)

Properties
Formation energy (no corrections), eV per atom: -0.242
Calculated density, g cm⁻³: 3.64
VASP energy, eV per cell: -18.457

=====

Entry 3:
NaLiPtO3 | PBE | optimized geometry

a = 5.738 Å, b = 3.190 Å, c = 8.013 Å
α = 90.00°, β = 101.21°, γ = 90.00°
Atoms (fractional coordinates):
Na (0.123, 0.250, 0.189)
Na (0.877, 0.750, 0.811)
Li (0.162, 0.750, 0.550)
Li (0.838, 0.250, 0.450)
Pt (0.379, 0.250, 0.834)
Pt (0.621, 0.750, 0.166)
O (0.063, 0.250, 0.669)
O (0.296, 0.750, 0.984)
O (0.474, 0.750, 0.702)
O (0.526, 0.250, 0.298)
O (0.704, 0.250, 0.016)
O (0.937, 0.750, 0.331)

Properties
Formation energy (no corrections), eV per atom: -1.188
Calculated density, g cm⁻³: 6.30
VASP energy, eV per cell: -62.550

=====

Entry 4:
ScMnBr2N | PBE | optimized geometry

a = 4.702 Å, b = 4.702 Å, c = 5.409 Å
α = 90.00°, β = 90.00°, γ = 90.00°
Atoms (fractional coordinates):
Sc (0.000, 0.000, 0.000)
Mn (0.000, 0.000, 0.500)
Br (0.000, 0.500, 0.500)
Br (0.500, 0.000, 0.500)
N (0.500, 0.500, 0.000)

Properties
Formation energy (no corrections), eV per atom: 0.848
Calculated density, g cm⁻³: 3.80
VASP energy, eV per cell: -22.935

=====

Entry 5:
CaSmHo2 | PBE | optimized geometry

a = 5.753 Å, b = 5.753 Å, c = 5.753 Å
α = 60.00°, β = 60.00°, γ = 60.00°
Atoms (fractional coordinates):
Ca (0.000, 0.000, 0.000)
Sm (0.500, 0.500, 0.500)
Ho (0.250, 0.250, 0.250)
Ho (0.750, 0.750, 0.750)

Properties
Calculated density, g cm⁻³: 6.42
VASP energy, eV per cell: -15.161

=====

Entry 6:
AcSmSc2 | PBE | optimized geometry

a = 4.010 Å, b = 4.010 Å, c = 7.768 Å
α = 90.00°, β = 90.00°, γ = 90.00°
Atoms (fractional coordinates):
Ac (0.000, 0.000, 0.000)
Sm (0.000, 0.000, 0.500)
Sc (0.500, 0.500, 0.268)
Sc (0.500, 0.500, 0.732)

Properties
Calculated density, g cm⁻³: 6.21
VASP energy, eV per cell: -21.144

=====

Entry 7:
BaMgTl | PBE | optimized geometry

a = 5.520 Å, b = 5.520 Å, c = 5.520 Å
α = 60.00°, β = 60.00°, γ = 60.00°
Atoms (fractional coordinates):
Ba (0.000, 0.000, 0.000)
Mg (0.500, 0.500, 0.500)
Tl (0.250, 0.250, 0.250)

Properties
Calculated density, g cm⁻³: 5.11
VASP energy, eV per cell: -6.174

=====

Entry 8:
TmMg2Zn9 | PBE | optimized geometry

a = 8.903 Å, b = 8.903 Å, c = 8.903 Å
α = 34.42°, β = 34.42°, γ = 34.42°
Atoms (fractional coordinates):
Tm (0.000, 0.000, 0.000)
Mg (0.141, 0.141, 0.141)
Mg (0.859, 0.859, 0.859)
Zn (0.080, 0.587, 0.587)
Zn (0.334, 0.334, 0.334)
Zn (0.413, 0.413, 0.920)
Zn (0.413, 0.920, 0.413)
Zn (0.500, 0.500, 0.500)
Zn (0.587, 0.080, 0.587)
Zn (0.587, 0.587, 0.080)
Zn (0.666, 0.666, 0.666)
Zn (0.920, 0.413, 0.413)

Properties
Calculated density, g cm⁻³: 6.66
VASP energy, eV per cell: -21.362

=====

Entry 9:
SmDy2Pt9 | PBE | optimized geometry

a = 9.382 Å, b = 9.382 Å, c = 9.382 Å
α = 33.60°, β = 33.60°, γ = 33.60°
Atoms (fractional coordinates):
Sm (0.000, 0.000, 0.000)
Dy (0.139, 0.139, 0.139)
Dy (0.861, 0.861, 0.861)
Pt (0.081, 0.588, 0.588)
Pt (0.333, 0.333, 0.333)
Pt (0.412, 0.412, 0.919)
Pt (0.412, 0.919, 0.412)
Pt (0.500, 0.500, 0.500)
Pt (0.588, 0.081, 0.588)
Pt (0.588, 0.588, 0.081)
Pt (0.667, 0.667, 0.667)
Pt (0.919, 0.412, 0.412)

Properties
Calculated density, g cm⁻³: 16.44
VASP energy, eV per cell: -79.730

=====

Entry 10:
TbZnCu | PBE | optimized geometry

a = 4.353 Å, b = 4.353 Å, c = 3.581 Å
α = 90.00°, β = 90.00°, γ = 120.00°
Atoms (fractional coordinates):
Tb (0.000, 0.000, 0.000)
Zn (0.667, 0.333, 0.500)
Cu (0.333, 0.667, 0.500)

Properties
Calculated density, g cm⁻³: 8.13
VASP energy, eV per cell: -10.938

=====

Entry 11:
LaAl4Ag2Au | PBE | optimized geometry

a = 9.667 Å, b = 9.667 Å, c = 9.667 Å
α = 26.56°, β = 26.56°, γ = 26.56°
Atoms (fractional coordinates):
La (0.000, 0.000, 0.000)
Al (0.127, 0.127, 0.127)
Al (0.404, 0.404, 0.404)
Al (0.596, 0.596, 0.596)
Al (0.873, 0.873, 0.873)
Ag (0.245, 0.245, 0.245)
Ag (0.755, 0.755, 0.755)
Au (0.500, 0.500, 0.500)

Properties
Calculated density, g cm⁻³: 6.88
VASP energy, eV per cell: -31.237

=====

Entry 12:
Sr2TlFe | PBE | optimized geometry

a = 4.726 Å, b = 6.453 Å, c = 6.453 Å
α = 42.63°, β = 90.00°, γ = 90.00°
Atoms (fractional coordinates):
Sr (0.000, 0.000, 0.000)
Sr (0.500, 0.289, 0.289)
Tl (0.500, 0.587, 0.587)
Fe (0.000, 0.695, 0.695)

Properties
Calculated density, g cm⁻³: 5.42
VASP energy, eV per cell: -13.510

=====

Entry 13:
Ce2I3Br | PBE | optimized geometry

a = 10.229 Å, b = 10.229 Å, c = 14.719 Å
α = 124.24°, β = 124.24°, γ = 23.79°
Atoms (fractional coordinates):
Ce (0.244, 0.244, 0.108)
Ce (0.252, 0.252, 0.613)
Ce (0.748, 0.748, 0.387)
Ce (0.756, 0.756, 0.892)
I (0.126, 0.126, 0.194)
I (0.385, 0.385, 0.557)
I (0.387, 0.387, 0.072)
I (0.613, 0.613, 0.928)
I (0.615, 0.615, 0.443)
I (0.874, 0.874, 0.806)
Br (0.156, 0.156, 0.716)
Br (0.844, 0.844, 0.284)

Properties
Formation energy (no corrections), eV per atom: -1.335
Calculated density, g cm⁻³: 4.84
VASP energy, eV per cell: -52.401

=====

Entry 14:
HfPI | PBE | optimized geometry

a = 3.730 Å, b = 3.729 Å, c = 12.235 Å
α = 90.00°, β = 91.17°, γ = 90.00°
Atoms (fractional coordinates):
Hf (0.242, 0.250, 0.386)
Hf (0.758, 0.750, 0.614)
P (0.257, 0.250, 0.606)
P (0.743, 0.750, 0.394)
I (0.227, 0.250, 0.162)
I (0.773, 0.750, 0.838)

Properties
Formation energy (no corrections), eV per atom: -0.886
Calculated density, g cm⁻³: 6.57
VASP energy, eV per cell: -39.143

=====

Entry 15:
CaBeP2 | PBE | optimized geometry

a = 7.620 Å, b = 7.620 Å, c = 7.620 Å
α = 142.93°, β = 142.93°, γ = 53.43°
Atoms (fractional coordinates):
Ca (0.000, 0.000, 0.000)
Ca (0.750, 0.250, 0.500)
Be (0.250, 0.750, 0.500)
Be (0.500, 0.500, 0.000)
P (0.314, 0.625, 0.189)
P (0.375, 0.564, 0.689)
P (0.436, 0.125, 0.811)
P (0.875, 0.686, 0.311)

Properties
Calculated density, g cm⁻³: 2.31
VASP energy, eV per cell: -37.133

=====

Entry 16:
Na12Tl5Sn2 | PBE | optimized geometry

a = 11.250 Å, b = 11.250 Å, c = 5.477 Å
α = 104.05°, β = 104.05°, γ = 58.16°
Atoms (fractional coordinates):
Na (0.053, 0.561, 0.807)
Na (0.087, 0.087, 0.090)
Na (0.139, 0.683, 0.411)
Na (0.317, 0.861, 0.589)
Na (0.403, 0.403, 0.904)
Na (0.439, 0.947, 0.193)
Na (0.561, 0.053, 0.807)
Na (0.597, 0.597, 0.096)
Na (0.683, 0.139, 0.411)
Na (0.861, 0.317, 0.589)
Na (0.913, 0.913, 0.910)
Na (0.947, 0.439, 0.193)
Tl (0.211, 0.211, 0.716)
Tl (0.298, 0.298, 0.301)
Tl (0.500, 0.500, 0.500)
Tl (0.702, 0.702, 0.699)
Tl (0.789, 0.789, 0.284)
Sn (0.257, 0.743, 0.000)
Sn (0.743, 0.257, 0.000)

Properties
Calculated density, g cm⁻³: 4.51
VASP energy, eV per cell: -37.640

=====

Entry 17:
Y2MgRu | PBE | optimized geometry

a = 6.376 Å, b = 6.376 Å, c = 6.376 Å
α = 148.76°, β = 133.92°, γ = 56.73°
Atoms (fractional coordinates):
Y (0.000, 0.000, 0.000)
Y (0.702, 0.202, 0.500)
Mg (0.311, 0.811, 0.500)
Ru (0.501, 0.501, 0.000)

Properties
Calculated density, g cm⁻³: 5.24
VASP energy, eV per cell: -24.357

=====

Entry 18:
TbGePd | PBE | optimized geometry

a = 11.470 Å, b = 11.470 Å, c = 11.470 Å
α = 157.77°, β = 45.23°, γ = 141.13°
Atoms (fractional coordinates):
Tb (0.000, 0.000, 0.000)
Tb (0.248, 0.082, 0.166)
Tb (0.339, 0.006, 0.333)
Tb (0.581, 0.081, 0.500)
Tb (0.673, 0.006, 0.667)
Tb (0.916, 0.082, 0.834)
Ge (0.119, 0.384, 0.735)
Ge (0.137, 0.702, 0.435)
Ge (0.267, 0.702, 0.565)
Ge (0.610, 0.703, 0.907)
Ge (0.649, 0.384, 0.265)
Ge (0.796, 0.703, 0.093)
Pd (0.298, 0.371, 0.928)
Pd (0.443, 0.371, 0.072)
Pd (0.480, 0.713, 0.766)
Pd (0.769, 0.374, 0.396)
Pd (0.947, 0.713, 0.234)
Pd (0.978, 0.374, 0.604)

Properties
Calculated density, g cm⁻³: 9.42
VASP energy, eV per cell: -104.417

=====

Entry 19:
Bi2SbBr3 | PBE | optimized geometry

a = 11.816 Å, b = 11.816 Å, c = 14.122 Å
α = 122.29°, β = 122.29°, γ = 21.01°
Atoms (fractional coordinates):
Bi (0.154, 0.154, 0.301)
Bi (0.291, 0.291, 0.898)
Bi (0.709, 0.709, 0.102)
Bi (0.846, 0.846, 0.699)
Sb (0.107, 0.107, 0.061)
Sb (0.893, 0.893, 0.939)
Br (0.239, 0.239, 0.627)
Br (0.337, 0.337, 0.122)
Br (0.441, 0.441, 0.741)
Br (0.559, 0.559, 0.259)
Br (0.663, 0.663, 0.878)
Br (0.761, 0.761, 0.373)

Properties
Formation energy (no corrections), eV per atom: -0.441
Calculated density, g cm⁻³: 4.36
VASP energy, eV per cell: -39.099

=====

Entry 20:
Mn2CuIr | PBE | optimized geometry

a = 4.503 Å, b = 4.503 Å, c = 4.513 Å
α = 100.95°, β = 100.95°, γ = 34.67°
Atoms (fractional coordinates):
Mn (0.000, 0.000, 0.000)
Mn (0.747, 0.747, 0.276)
Cu (0.248, 0.248, 0.779)
Ir (0.494, 0.494, 0.498)

Properties
Calculated density, g cm⁻³: 11.90
VASP energy, eV per cell: -31.056

=====

Entry 21:
GaCu4S5 | PBE | optimized geometry

a = 6.058 Å, b = 6.058 Å, c = 6.058 Å
α = 99.62°, β = 99.62°, γ = 131.75°
Atoms (fractional coordinates):
Ga (0.000, 0.000, 0.000)
Cu (0.203, 0.394, 0.597)
Cu (0.394, 0.797, 0.191)
Cu (0.606, 0.203, 0.809)
Cu (0.797, 0.606, 0.403)
S (0.092, 0.701, 0.793)
S (0.299, 0.092, 0.392)
S (0.500, 0.500, 0.000)
S (0.701, 0.908, 0.608)
S (0.908, 0.299, 0.207)

Properties
Formation energy (no corrections), eV per atom: -0.172
Calculated density, g cm⁻³: 5.31
VASP energy, eV per cell: -41.765

=====

Entry 22:
HfVRe3 | PBE | optimized geometry

a = 4.718 Å, b = 4.718 Å, c = 4.718 Å
α = 90.00°, β = 90.00°, γ = 90.00°
Atoms (fractional coordinates):
Hf (0.000, 0.000, 0.000)
V (0.500, 0.500, 0.500)
Re (0.000, 0.000, 0.500)
Re (0.000, 0.500, 0.000)
Re (0.500, 0.000, 0.000)

Properties
Calculated density, g cm⁻³: 12.46
VASP energy, eV per cell: -43.957

=====

Entry 23:
CaZn3Ni | PBE | optimized geometry

a = 5.499 Å, b = 5.499 Å, c = 5.499 Å
α = 90.00°, β = 90.00°, γ = 90.00°
Atoms (fractional coordinates):
Ca (0.000, 0.000, 0.000)
Zn (0.000, 0.000, 0.500)
Zn (0.000, 0.500, 0.000)
Zn (0.500, 0.000, 0.000)
Ni (0.500, 0.500, 0.500)

Properties
Calculated density, g cm⁻³: 2.95
VASP energy, eV per cell: -5.018

=====

Entry 24:
Tb8C3Se4S | PBE | optimized geometry

a = 7.957 Å, b = 7.957 Å, c = 7.957 Å
α = 57.84°, β = 57.84°, γ = 57.84°
Atoms (fractional coordinates):
Tb (0.217, 0.747, 0.747)
Tb (0.235, 0.235, 0.235)
Tb (0.253, 0.253, 0.783)
Tb (0.253, 0.783, 0.253)
Tb (0.747, 0.217, 0.747)
Tb (0.747, 0.747, 0.217)
Tb (0.765, 0.765, 0.765)
Tb (0.783, 0.253, 0.253)
C (0.000, 0.000, 0.500)
C (0.000, 0.500, 0.000)
C (0.500, 0.000, 0.000)
Se (0.000, 0.000, 0.000)
Se (0.000, 0.500, 0.500)
Se (0.500, 0.000, 0.500)
Se (0.500, 0.500, 0.000)
S (0.500, 0.500, 0.500)

Properties
Formation energy (no corrections), eV per atom: -1.366
Calculated density, g cm⁻³: 8.12
VASP energy, eV per cell: -104.643

=====

What are the magnetization values for these records? In order: 0.000 0.000 0.000 1.427 0.353 0.000 1.017 0.000 0.000 0.000 0.000 2.253 7.940 0.000 0.000 0.000 0.000 0.000 0.000 4.501 0.000 1.200 0.030 0.000 μB per cell.